[1]
KAgAu: relaxed, GGA-PBE.

Cell: 7.1396 7.1396 7.1396 Å, 90.00 90.00 90.00°
Fractional coordinates of all 12 atoms:
K (0.0000, 0.0000, 0.0000)
K (0.0000, 0.5000, 0.5000)
K (0.5000, 0.0000, 0.5000)
K (0.5000, 0.5000, 0.0000)
Ag (0.0000, 0.0000, 0.5000)
Ag (0.0000, 0.5000, 0.0000)
Ag (0.5000, 0.0000, 0.0000)
Ag (0.5000, 0.5000, 0.5000)
Au (0.2500, 0.2500, 0.7500)
Au (0.2500, 0.7500, 0.2500)
Au (0.7500, 0.2500, 0.2500)
Au (0.7500, 0.7500, 0.7500)

DFT total energy   -2.32 eV per atom
E above lowest polymorph   0.000 eV per atom
Crystal system   cubic

---

[2]
Tb3GaC: relaxed, GGA-PBE.

Cell: 4.8868 4.8868 4.8868 Å, 90.00 90.00 90.00°
Fractional coordinates of all 5 atoms:
Tb (0.0000, 0.0000, 0.5000)
Tb (0.0000, 0.5000, 0.0000)
Tb (0.5000, 0.0000, 0.0000)
Ga (0.5000, 0.5000, 0.5000)
C (0.0000, 0.0000, 0.0000)

Size of the total moment   0.00 μB per formula unit
DFT total energy   -5.65 eV per atom
Crystal system   cubic

---

[3]
PrZrAl2Ni4: relaxed, GGA-PBE.

Cell: 4.1667 4.1667 8.6989 Å, 90.00 90.00 120.00°
Fractional coordinates of all 8 atoms:
Pr (0.0000, 0.0000, 0.0000)
Zr (0.6667, 0.3333, 0.5000)
Al (0.3333, 0.6667, 0.2748)
Al (0.3333, 0.6667, 0.7252)
Ni (0.0000, 0.0000, 0.3429)
Ni (0.0000, 0.0000, 0.6571)
Ni (0.6667, 0.3333, 0.2027)
Ni (0.6667, 0.3333, 0.7973)

Size of the total moment   0.02 μB per formula unit
DFT total energy   -5.93 eV per atom
Crystal system   hexagonal

---

[4]
AgOsSeO: relaxed, GGA-PBE.

Cell: 3.0016 8.1290 5.8373 Å, 90.00 90.00 90.00°
Fractional coordinates of all 8 atoms:
Ag (0.0000, 0.1615, 0.0000)
Ag (0.0000, 0.8385, 0.5000)
Os (0.5000, 0.3569, 0.3220)
Os (0.5000, 0.6431, 0.8220)
Se (0.0000, 0.1689, 0.5380)
Se (0.0000, 0.8311, 0.0380)
O (0.5000, 0.4868, 0.0620)
O (0.5000, 0.5132, 0.5620)

Size of the total moment   0.01 μB per formula unit
DFT total energy   -5.59 eV per atom
E above lowest polymorph   0.132 eV per atom
Crystal system   orthorhombic

---

[5]
CsNaThSe3: relaxed, GGA-PBE.

Cell: 8.1838 8.1838 11.5833 Å, 90.00 90.00 148.23°
Fractional coordinates of all 12 atoms:
Cs (0.2305, 0.7695, 0.7500)
Cs (0.7695, 0.2305, 0.2500)
Na (0.0551, 0.9449, 0.2500)
Na (0.9449, 0.0551, 0.7500)
Th (0.5000, 0.5000, 0.0000)
Th (0.5000, 0.5000, 0.5000)
Se (0.1199, 0.8801, 0.0293)
Se (0.1199, 0.8801, 0.4707)
Se (0.4539, 0.5461, 0.2500)
Se (0.5461, 0.4539, 0.7500)
Se (0.8801, 0.1199, 0.5293)
Se (0.8801, 0.1199, 0.9707)

Size of the total moment   0.00 μB per formula unit
DFT total energy   -4.82 eV per atom
Crystal system   orthorhombic

---

[6]
NdHoSi2: relaxed, GGA-PBE.

Cell: 3.8842 5.8030 8.0645 Å, 90.00 90.00 90.00°
Fractional coordinates of all 8 atoms:
Nd (0.0000, 0.1355, 0.0000)
Nd (0.0000, 0.8645, 0.5000)
Ho (0.5000, 0.3644, 0.6410)
Ho (0.5000, 0.6356, 0.1410)
Si (0.0000, 0.3802, 0.3583)
Si (0.0000, 0.6198, 0.8583)
Si (0.5000, 0.1292, 0.2851)
Si (0.5000, 0.8708, 0.7851)

Size of the total moment   0.01 μB per formula unit
DFT total energy   -5.83 eV per atom
E above lowest polymorph   0.008 eV per atom
Crystal system   orthorhombic

---

[7]
PmSiPO: relaxed, GGA-PBE.

Cell: 4.3663 4.3663 7.0561 Å, 90.00 90.00 90.00°
Fractional coordinates of all 8 atoms:
Pm (0.2500, 0.2500, 0.1387)
Pm (0.7500, 0.7500, 0.8613)
Si (0.2500, 0.7500, 0.5000)
Si (0.7500, 0.2500, 0.5000)
P (0.2500, 0.2500, 0.6203)
P (0.7500, 0.7500, 0.3797)
O (0.2500, 0.7500, 0.0000)
O (0.7500, 0.2500, 0.0000)

Size of the total moment   0.00 μB per formula unit
DFT total energy   -6.60 eV per atom
E above lowest polymorph   0.000 eV per atom
Crystal system   tetragonal

---

[8]
DyScTc: relaxed, GGA-PBE.

Cell: 6.5406 6.5406 6.5406 Å, 90.00 90.00 90.00°
Fractional coordinates of all 12 atoms:
Dy (0.0000, 0.0000, 0.0000)
Dy (0.0000, 0.5000, 0.5000)
Dy (0.5000, 0.0000, 0.5000)
Dy (0.5000, 0.5000, 0.0000)
Sc (0.2500, 0.2500, 0.7500)
Sc (0.2500, 0.7500, 0.2500)
Sc (0.7500, 0.2500, 0.2500)
Sc (0.7500, 0.7500, 0.7500)
Tc (0.2500, 0.2500, 0.2500)
Tc (0.2500, 0.7500, 0.7500)
Tc (0.7500, 0.2500, 0.7500)
Tc (0.7500, 0.7500, 0.2500)

Size of the total moment   0.04 μB per formula unit
DFT total energy   -6.14 eV per atom
ΔE_f   2.88 eV per formula unit
E above lowest polymorph   0.195 eV per atom
Crystal system   cubic

---

Question: Which formula does entry 3 have?
Answer: PrZrAl2Ni4

---

Question: The highest DFT total energy belongs to which entry?
Answer: KAgAu

---

Question: Look up the DFT total energy of the first one.
Answer: -2.32 eV per atom